a) Computed, not measured: an optimized crystal structure of NiI2NO at the GGA+U level of DFT.

The structure in extended XYZ format:
```
5
Lattice="5.1244 0.0000 0.0000 0.0000 5.1244 0.0000 0.0000 0.0000 3.5362" Properties=species:S:1:pos:R:3 pbc="T T T"
N 0.0000 0.0000 0.0000
I 0.0000 2.5622 0.0000
O 0.0000 0.0000 1.7681
Ni 2.5622 2.5622 1.7681
I 2.5622 0.0000 0.0000
```

As for the space group: P4/mmm, No. 123. Its density of states at the Fermi level is 0.644 states/eV/atom.

---

b) Computed, not measured: an optimized crystal structure of NiI2NO at the GGA+U level of DFT.

The structure in extended XYZ format:
```
5
Lattice="-5.0817 -1.1341 0.8950 0.8633 -5.0081 -1.4438 0.7552 -0.8100 3.2613" Properties=species:S:1:pos:R:3 pbc="T T T"
O -1.7316 -3.4761 1.3563
Ni 0.0000 0.0000 0.0000
I -2.5408 -0.5670 0.4475
I 0.4317 -2.5040 -0.7219
N 0.3776 -0.4050 1.6307
```

As for the space group: P4/mmm, No. 123. Its density of states at the Fermi level is 1.288 states/eV/atom.

---

c) Computed, not measured: an optimized crystal structure of NiI2NO at the GGA+U level of DFT.

The structure in extended XYZ format:
```
5
Lattice="-0.9554 5.4297 -2.7919 -6.0729 -0.5539 1.0011 0.3422 1.5761 2.9481" Properties=species:S:1:pos:R:3 pbc="T T T"
I -3.0364 -0.2769 0.5006
I -0.4777 2.7148 -1.3959
Ni 0.0000 0.0000 0.0000
N -3.3430 3.2259 0.5787
O 0.1711 0.7880 1.4740
```

As for the space group: P4/mmm, No. 123. Its density of states at the Fermi level is 0.934 states/eV/atom.

---

Sorted by energy, starting with the most stable: c), a), b).